# PaVGeMo

Crystalline PaVGeMo at its relaxed geometry (PBE, the Alexandria database).

formation energy from the elements: 167 meV per atom
crystal system: cubic
magnetization: 0.0 μB/cell

Cell: 6.5858 6.5858 6.5858 Å, 90.00 90.00 90.00°
Last column: nearest neighbours and their distance in Å.
Fractional positions:
Pa 0.0000 0.0000 0.0000  4 Ge 2.85, 4 V 2.85
Pa 0.0000 0.5000 0.5000  4 Ge 2.85, 4 V 2.85
Pa 0.5000 0.0000 0.5000  4 Ge 2.85, 4 V 2.85
Pa 0.5000 0.5000 0.0000  4 Ge 2.85, 4 V 2.85
V 0.2500 0.2500 0.7500  4 Mo 2.85, 4 Pa 2.85
V 0.2500 0.7500 0.2500  4 Mo 2.85, 4 Pa 2.85
V 0.7500 0.2500 0.2500  4 Mo 2.85, 4 Pa 2.85
V 0.7500 0.7500 0.7500  4 Mo 2.85, 4 Pa 2.85
Ge 0.2500 0.2500 0.2500  4 Mo 2.85, 4 Pa 2.85
Ge 0.2500 0.7500 0.7500  4 Mo 2.85, 4 Pa 2.85
Ge 0.7500 0.2500 0.7500  4 Mo 2.85, 4 Pa 2.85
Ge 0.7500 0.7500 0.2500  4 Mo 2.85, 4 Pa 2.85
Mo 0.0000 0.0000 0.5000  4 Ge 2.85, 4 V 2.85
Mo 0.0000 0.5000 0.0000  4 Ge 2.85, 4 V 2.85
Mo 0.5000 0.0000 0.0000  4 Ge 2.85, 4 V 2.85
Mo 0.5000 0.5000 0.5000  4 Ge 2.85, 4 V 2.85